# 1
This record from Alexandria via LeMat-Bulk describes a relaxed structure of MgFeCuRu. The functional is PBE-GGA.

a = 4.2755 Å, b = 4.2755 Å, c = 4.2755 Å
α = 60.00°, β = 60.00°, γ = 60.00°
Site moments in Bohr magnetons follow the coordinates.
Atoms (fractional coordinates):
Fe: 0.0000 0.0000 0.0000  2.91
Ru: 0.2500 0.2500 0.2500  0.76
Mg: 0.5000 0.5000 0.5000  0.00
Cu: 0.7500 0.7500 0.7500  0.08

Properties
Energy of formation from the pure elements ... 121 meV/atom
Total magnetic moment ... 3.74 μB per cell



# 2
This record from Alexandria via LeMat-Bulk describes a relaxed structure of Mg2FeCuSb. The functional is PBE-GGA.

a = 4.9105 Å, b = 4.5216 Å, c = 4.9105 Å
α = 90.00°, β = 90.00°, γ = 90.00°
Site moments in Bohr magnetons follow the coordinates.
Atoms (fractional coordinates):
Mg: 0.5000 0.0000 0.0000  -0.03
Mg: 0.0000 0.0000 0.5000  -0.02
Fe: 0.0000 0.0000 0.0000  2.24
Sb: 0.5000 0.5000 0.5000  0.07
Cu: 0.0000 0.5000 0.0000  0.13

Properties
Raw formation energy ... 0.58 eV per atom
Total magnetic moment ... 2.33 μB per cell



# 3
This record from Alexandria via LeMat-Bulk describes a relaxed structure of Mg2FeCuTc. The functional is PBE-GGA.

a = 4.9226 Å, b = 4.5723 Å, c = 4.9226 Å
α = 90.00°, β = 90.00°, γ = 90.00°
Site moments in Bohr magnetons follow the coordinates.
Atoms (fractional coordinates):
Fe: 0.5000 0.5000 0.5000  3.21
Mg: 0.0000 0.0000 0.5000  -0.01
Mg: 0.5000 0.0000 0.0000  -0.01
Tc: 0.0000 0.0000 0.0000  0.44
Cu: 0.0000 0.5000 0.0000  0.04

Properties
Energy of formation from the pure elements ... 1356 meV/atom
Total magnetic moment ... 3.73 μB per cell



# 4
This record from Alexandria via LeMat-Bulk describes a relaxed structure of MgZrFeCu. The functional is PBE-GGA.

a = 4.4785 Å, b = 4.4785 Å, c = 4.4785 Å
α = 60.00°, β = 60.00°, γ = 60.00°
Site moments in Bohr magnetons follow the coordinates.
Atoms (fractional coordinates):
Mg: 0.0000 0.0000 0.0000  -0.01
Fe: 0.7500 0.7500 0.7500  1.09
Zr: 0.5000 0.5000 0.5000  -0.20
Cu: 0.2500 0.2500 0.2500  0.02

Properties
Energy of formation from the pure elements ... 38 meV/atom
Total magnetic moment ... 0.82 μB per cell